1.
This record from the Alexandria database describes Be2HgSb after structural relaxation. The functional is PBE-GGA.

The value obtained for the theoretical density is 7.94 g/cm3. The formation energy (no corrections) is 0.482 eV per atom. The value obtained for the distance to the lowest polymorph of the same formula is 0.184 eV/atom. Its space group is R-3m, No. 166.

Cell and atoms, written as POSCAR:
```
Be2HgSb
1.0
-4.745 0.439 -4.188
-3.923 -3.164 -3.853
-6.028 -1.495 -1.292
Sb Hg Be
1 1 2
direct
0.750 0.750 0.750
0.250 0.250 0.250
0.000 0.000 0.000
0.500 0.500 0.500
```


2.
This record from the Alexandria database describes Be2HgSb after structural relaxation. The functional is PBE-GGA.

The value obtained for the theoretical density is 7.94 g/cm3. The formation energy (no corrections) is 0.525 eV per atom. The value obtained for the distance to the lowest polymorph of the same formula is 0.228 eV/atom. Its space group is P4mm, No. 99.

Cell and atoms, written as POSCAR:
```
Be2HgSb
1.0
3.096 0.000 0.000
0.000 3.096 0.000
0.000 0.000 7.426
Sb Hg Be
1 1 2
direct
0.500 0.500 0.829
0.000 0.000 0.418
0.000 0.000 0.066
0.500 0.500 0.187
```


3.
This record from the Alexandria database describes Be2HgSb after structural relaxation. The functional is PBE-GGA.

The value obtained for the theoretical density is 7.88 g/cm3. The formation energy (no corrections) is 0.635 eV per atom. The value obtained for the distance to the lowest polymorph of the same formula is 0.338 eV/atom. Its space group is Pmmm, No. 47.

Cell and atoms, written as POSCAR:
```
Be2HgSb
1.0
3.807 0.000 0.000
0.000 5.292 0.000
0.000 0.000 3.560
Sb Hg Be
1 1 2
direct
0.000 0.500 0.500
0.500 0.000 0.500
0.000 0.000 0.000
0.500 0.500 0.000
```


4.
This record from the Alexandria database describes Be2HgSb after structural relaxation. The functional is PBE-GGA.

The value obtained for the theoretical density is 7.76 g/cm3. The formation energy (no corrections) is 0.623 eV per atom. The value obtained for the distance to the lowest polymorph of the same formula is 0.326 eV/atom. Its space group is C2/m, No. 12.

Cell and atoms, written as POSCAR:
```
Be2HgSb
1.0
-0.575 1.332 5.827
3.534 -2.062 -1.618
3.070 2.357 1.077
Sb Hg Be
1 1 2
direct
0.500 0.500 0.000
0.000 0.500 0.500
0.000 0.000 0.000
0.500 0.000 0.500
```


5.
This record from the Alexandria database describes Be2HgSb after structural relaxation. The functional is PBE-GGA.

The value obtained for the theoretical density is 8.06 g/cm3. The formation energy (no corrections) is 0.701 eV per atom. The value obtained for the distance to the lowest polymorph of the same formula is 0.404 eV/atom. Its space group is Cmmm, No. 65.

Cell and atoms, written as POSCAR:
```
Be2HgSb
1.0
4.857 -0.046 0.000
-1.063 4.739 0.000
0.000 0.000 3.054
Sb Hg Be
1 1 2
direct
0.000 0.500 0.500
0.500 0.000 0.500
0.000 0.000 0.000
0.500 0.500 0.000
```


6.
This record from the Alexandria database describes Be2HgSb after structural relaxation. The functional is PBE-GGA.

The value obtained for the theoretical density is 7.63 g/cm3. The formation energy (no corrections) is 0.462 eV per atom. The value obtained for the distance to the lowest polymorph of the same formula is 0.165 eV/atom. Its space group is Pmmm, No. 47.

Cell and atoms, written as POSCAR:
```
Be2HgSb
1.0
3.369 0.000 0.000
0.000 3.720 -0.132
0.000 0.212 5.902
Sb Hg Be
1 1 2
direct
0.500 0.750 0.750
0.500 0.250 0.250
0.000 0.250 0.935
0.000 0.250 0.565
```